Record 1
Compound: Sc8Tl2Tc
Source: Alexandria via LeMat-Bulk
Functional: PBE-GGA
Structure: optimized geometry

Summary:
Magnetization (μB per cell): 3.5
E_tot (eV per atom): -6.18

a b c (Å): 16.1297 5.1077 6.6042
angles (deg): 90.00 112.62 90.00
Closest atoms and distances in Å follow each position.
Space group C2/m (No. 12)
Unique sites:
Sc (0.0085, 0.0000, 0.2709)  2 Tc 3.00, 1 Tl 3.11, 7 Sc 3.14-3.24
Sc (0.1109, 0.5000, 0.9023)  1 Tc 2.57
Sc (0.1395, 0.5000, 0.4047)  1 Tc 2.56
Sc (0.1859, 0.0000, 0.7228)  3 Tl 3.07-3.20, 8 Sc 3.15-3.26
Tl (0.1854, 0.0000, 0.1865)  10 Sc 3.07-3.41
Tc (0.0000, 0.5000, 0.5000)  4 Sc 2.56-2.57

Record 2
Compound: RuW5
Source: Alexandria via LeMat-Bulk
Functional: PBE-GGA
Structure: optimized geometry

Summary:
Magnetization (μB per cell): 0.0
Polymorph energy (0 for the lowest one) (eV/atom): 0.005

a b c (Å): 9.9712 3.1763 6.3464
angles (deg): 90.00 108.62 90.00
Closest atoms and distances in Å follow each position.
Space group C2/m (No. 12)
Unique sites:
Ru (0.0000, 0.0000, 0.0000)  8 W 2.74-2.79
W (0.0000, 0.0000, 0.5000)  8 W 2.73-2.76
W (0.1658, 0.5000, 0.3349)  6 W 2.71-2.74, 2 Ru 2.74
W (0.1718, 0.5000, 0.8321)  6 W 2.71-2.76, 2 Ru 2.79